[1]
Material: Ba2ScCl7
Method: DFT, meta-GGA SCAN
State: PBEsol geometry

abc: 6.8782 13.2665 12.2455
angles: 90.00 98.18 90.00
Last column: nearest neighbours and their distance in Å.
Element x y z (fractional)
Ba: 0.2437 0.1589 0.0044  7 Cl 3.00-3.32
Ba: 0.2437 0.3411 0.5044  7 Cl 3.00-3.32
Ba: 0.2484 0.5795 0.1230  8 Cl 3.02-3.29
Ba: 0.2484 0.9205 0.6230  8 Cl 3.02-3.29
Ba: 0.7516 0.0795 0.3770  8 Cl 3.02-3.29
Ba: 0.7516 0.4205 0.8770  8 Cl 3.02-3.29
Ba: 0.7563 0.6589 0.4956  7 Cl 3.00-3.32
Ba: 0.7563 0.8411 0.9956  7 Cl 3.00-3.32
Sc: 0.3015 0.6291 0.7026  6 Cl 2.43-2.51
Sc: 0.3015 0.8709 0.2026  6 Cl 2.43-2.51
Sc: 0.6985 0.1291 0.7974  6 Cl 2.43-2.51
Sc: 0.6985 0.3709 0.2974  6 Cl 2.43-2.51
Cl: 0.0304 0.7419 0.7235  1 Sc 2.43
Cl: 0.0304 0.7581 0.2235  1 Sc 2.43
Cl: 0.0465 0.0017 0.1456  1 Sc 2.49
Cl: 0.0465 0.4983 0.6456  1 Sc 2.49
Cl: 0.1248 0.1260 0.5312  3 Ba 3.00-3.03
Cl: 0.1248 0.3740 0.0312  3 Ba 3.00-3.03
Cl: 0.2875 0.6975 0.5114  1 Sc 2.50
Cl: 0.2875 0.8025 0.0114  1 Sc 2.50
Cl: 0.3685 0.5562 0.8857  1 Sc 2.43
Cl: 0.3685 0.9438 0.3857  1 Sc 2.43
Cl: 0.4503 0.0085 0.8544  1 Sc 2.51
Cl: 0.4503 0.4915 0.3544  1 Sc 2.51
Cl: 0.4525 0.2352 0.2480  1 Sc 2.49
Cl: 0.4525 0.2648 0.7480  1 Sc 2.49
Cl: 0.5475 0.7352 0.2520  1 Sc 2.49
Cl: 0.5475 0.7648 0.7520  1 Sc 2.49
Cl: 0.5497 0.5085 0.6456  1 Sc 2.51
Cl: 0.5497 0.9915 0.1456  1 Sc 2.51
Cl: 0.6315 0.0562 0.6143  1 Sc 2.43
Cl: 0.6315 0.4438 0.1143  1 Sc 2.43
Cl: 0.7125 0.1975 0.9886  1 Sc 2.50
Cl: 0.7125 0.3025 0.4886  1 Sc 2.50
Cl: 0.8752 0.6260 0.9688  3 Ba 3.00-3.03
Cl: 0.8752 0.8740 0.4688  3 Ba 3.00-3.03
Cl: 0.9535 0.5017 0.3544  1 Sc 2.49
Cl: 0.9535 0.9983 0.8544  1 Sc 2.49
Cl: 0.9696 0.2419 0.7765  1 Sc 2.43
Cl: 0.9696 0.2581 0.2765  1 Sc 2.43

Properties
- Raw formation energy: -2.644 eV per atom
- Space group: P2_1/c
- Calculated volume: 1106 Å³ per cell
- Theoretical density: 3.4 Mg/m³

[2]
Material: Ba2ScCl7
Method: DFT, meta-GGA SCAN
State: PBEsol geometry

abc: 6.8431 13.4039 12.2152
angles: 90.00 97.23 90.00
Last column: nearest neighbours and their distance in Å.
Element x y z (fractional)
Ba: 0.1912 0.0000 0.2702  6 Cl 2.99-3.28
Ba: 0.2467 0.4200 0.3750  8 Cl 3.01-3.37
Ba: 0.2541 0.7639 0.8731  8 Cl 3.03-3.23
Ba: 0.2635 0.1751 0.7365  6 Cl 2.99-3.32
Ba: 0.7365 0.6751 0.2635  6 Cl 2.99-3.32
Ba: 0.7459 0.2639 0.1269  8 Cl 3.03-3.23
Ba: 0.7533 0.9200 0.6250  8 Cl 3.01-3.37
Ba: 0.8088 0.5000 0.7298  6 Cl 2.99-3.28
Sc: 0.2884 0.7126 0.4574  6 Cl 2.41-2.51
Sc: 0.3324 0.4769 0.9505  6 Cl 2.44-2.50
Sc: 0.6676 0.9769 0.0495  6 Cl 2.44-2.50
Sc: 0.7116 0.2126 0.5426  6 Cl 2.41-2.51
Cl: 0.0131 0.8347 0.4191  1 Sc 2.49
Cl: 0.0359 0.5775 0.9620  1 Sc 2.45
Cl: 0.0449 0.5890 0.4957  1 Sc 2.44
Cl: 0.1002 0.3442 0.8715  1 Sc 2.50
Cl: 0.1164 0.2191 0.2821  3 Ba 2.99-3.03
Cl: 0.1331 0.9660 0.7709  3 Ba 2.99-3.05
Cl: 0.2460 0.6506 0.2644  1 Sc 2.48
Cl: 0.3415 0.5514 0.7638  1 Sc 2.50
Cl: 0.3599 0.3986 0.1320  1 Sc 2.44
Cl: 0.3822 0.7831 0.6382  1 Sc 2.41
Cl: 0.3888 0.8726 0.0957  1 Sc 2.49
Cl: 0.4434 0.0847 0.5164  1 Sc 2.50
Cl: 0.4583 0.1199 0.9778  1 Sc 2.49
Cl: 0.4867 0.3412 0.6091  1 Sc 2.51
Cl: 0.5133 0.8412 0.3909  1 Sc 2.51
Cl: 0.5417 0.6199 0.0222  1 Sc 2.49
Cl: 0.5566 0.5847 0.4836  1 Sc 2.50
Cl: 0.6112 0.3726 0.9043  1 Sc 2.49
Cl: 0.6178 0.2831 0.3618  1 Sc 2.41
Cl: 0.6401 0.8986 0.8680  1 Sc 2.44
Cl: 0.6585 0.0514 0.2362  1 Sc 2.50
Cl: 0.7540 0.1506 0.7356  1 Sc 2.48
Cl: 0.8669 0.4660 0.2291  3 Ba 2.99-3.05
Cl: 0.8836 0.7191 0.7179  3 Ba 2.99-3.03
Cl: 0.8998 0.8442 0.1285  1 Sc 2.50
Cl: 0.9551 0.0890 0.5043  1 Sc 2.44
Cl: 0.9641 0.0775 0.0380  1 Sc 2.45
Cl: 0.9869 0.3347 0.5809  1 Sc 2.49

Properties
- Raw formation energy: -2.645 eV per atom
- Space group: P2_1
- Calculated volume: 1112 Å³ per cell
- Theoretical density: 3.4 Mg/m³

[3]
Material: BaScCl
Method: DFT, meta-GGA SCAN
State: PBEsol geometry

abc: 3.4754 3.4754 13.5801
angles: 90.00 90.00 90.00
Last column: nearest neighbours and their distance in Å.
Element x y z (fractional)
Ba: 0.0000 0.0000 0.0000  4 Cl 3.45, 4 Ba 3.48, 4 Sc 3.77
Ba: 0.5000 0.5000 0.5000  4 Cl 3.45, 4 Ba 3.48, 4 Sc 3.77
Sc: 0.0000 0.0000 0.7102  4 Cl 2.88
Sc: 0.5000 0.5000 0.2102  4 Cl 2.88
Cl: 0.0000 0.0000 0.3214  4 Sc 2.88
Cl: 0.5000 0.5000 0.8214  4 Sc 2.88

Properties
- Raw formation energy: -0.730 eV per atom
- Space group: I4mm
- Calculated volume: 164 Å³ per cell
- Theoretical density: 4.4 Mg/m³

[4]
Material: BaScTe2Cl
Method: DFT, meta-GGA SCAN
State: PBEsol geometry

abc: 5.6738 5.6738 4.8830
angles: 90.00 90.00 90.00
Last column: nearest neighbours and their distance in Å.
Element x y z (fractional)
Ba: 0.0000 0.0000 0.0000  8 Te 3.74, 4 Cl 4.01
Sc: 0.5000 0.5000 0.5000  2 Cl 2.44
Te: 0.0000 0.5000 0.5000  2 Sc 2.84
Te: 0.5000 0.0000 0.5000  2 Sc 2.84
Cl: 0.5000 0.5000 0.0000  2 Sc 2.44

Properties
- Raw formation energy: -1.835 eV per atom
- Space group: P4/mmm
- Calculated volume: 157 Å³ per cell
- Theoretical density: 5.0 Mg/m³

[5]
Material: Ba2SeCl
Method: DFT, meta-GGA SCAN
State: PBEsol geometry

abc: 4.8498 4.2053 12.4471
angles: 90.00 90.00 90.00
Last column: nearest neighbours and their distance in Å.
Element x y z (fractional)
Ba: 0.0000 0.0000 0.0000  4 Cl 3.21, 3 Se 3.31-3.59
Ba: 0.0000 0.5000 0.5000  4 Cl 3.21, 3 Se 3.31-3.59
Ba: 0.5000 0.0000 0.2604  1 Cl 3.06, 4 Se 3.23
Ba: 0.5000 0.5000 0.7604  1 Cl 3.06, 4 Se 3.23
Se: 0.0000 0.0000 0.7341  7 Ba 3.23-3.59
Se: 0.0000 0.5000 0.2341  7 Ba 3.23-3.59
Cl: 0.5000 0.0000 0.5060  5 Ba 3.06-3.21
Cl: 0.5000 0.5000 0.0060  5 Ba 3.06-3.21

Properties
- Raw formation energy: -2.026 eV per atom
- Space group: Amm2
- Calculated volume: 254 Å³ per cell
- Theoretical density: 5.1 Mg/m³

[6]
Material: Ba2SeCl
Method: DFT, meta-GGA SCAN
State: PBEsol geometry

abc: 4.4741 4.4741 14.0667
angles: 90.00 90.00 90.00
Last column: nearest neighbours and their distance in Å.
Element x y z (fractional)
Ba: 0.0000 0.0000 0.0000  4 Cl 3.16
Ba: 0.0000 0.5000 0.2500  4 Se 3.16
Ba: 0.5000 0.0000 0.7500  4 Se 3.16
Ba: 0.5000 0.5000 0.5000  4 Cl 3.16
Se: 0.0000 0.5000 0.7500  4 Ba 3.16
Se: 0.5000 0.0000 0.2500  4 Ba 3.16
Cl: 0.0000 0.0000 0.5000  4 Ba 3.16
Cl: 0.5000 0.5000 0.0000  4 Ba 3.16

Properties
- Raw formation energy: -1.865 eV per atom
- Space group: I-4m2
- Calculated volume: 282 Å³ per cell
- Theoretical density: 4.6 Mg/m³

[7]
Material: Ba2SeCl
Method: DFT, meta-GGA SCAN
State: PBEsol geometry

abc: 4.5748 4.5748 21.8299
angles: 90.00 90.00 120.00
Last column: nearest neighbours and their distance in Å.
Element x y z (fractional)
Ba: 0.0000 0.0000 0.2485  3 Se 3.19, 3 Cl 3.23
Ba: 0.0000 0.0000 0.7515  3 Se 3.19, 3 Cl 3.23
Ba: 0.3333 0.6667 0.4182  3 Se 3.19, 3 Cl 3.23
Ba: 0.3333 0.6667 0.9152  3 Se 3.19, 3 Cl 3.23
Ba: 0.6667 0.3333 0.0848  3 Se 3.19, 3 Cl 3.23
Ba: 0.6667 0.3333 0.5818  3 Se 3.19, 3 Cl 3.23
Se: 0.0000 0.0000 0.5000  6 Ba 3.19
Se: 0.3333 0.6667 0.1667  6 Ba 3.19
Se: 0.6667 0.3333 0.8333  6 Ba 3.19
Cl: 0.0000 0.0000 0.0000  6 Ba 3.23
Cl: 0.3333 0.6667 0.6667  6 Ba 3.23
Cl: 0.6667 0.3333 0.3333  6 Ba 3.23

Properties
- Raw formation energy: -2.181 eV per atom
- Space group: R-3m
- Calculated volume: 396 Å³ per cell
- Theoretical density: 4.9 Mg/m³

[8]
Material: Ba2SeCl
Method: DFT, meta-GGA SCAN
State: PBEsol geometry

abc: 4.5466 4.5466 6.3994
angles: 90.00 90.00 90.00
Last column: nearest neighbours and their distance in Å.
Element x y z (fractional)
Ba: 0.0000 0.0000 0.0000  2 Se 3.20, 4 Cl 3.21
Ba: 0.5000 0.5000 0.5000  2 Cl 3.20, 4 Se 3.21
Se: 0.0000 0.0000 0.5000  6 Ba 3.20-3.21
Cl: 0.5000 0.5000 0.0000  6 Ba 3.20-3.21

Properties
- Raw formation energy: -2.167 eV per atom
- Space group: P4/mmm
- Calculated volume: 132 Å³ per cell
- Theoretical density: 4.9 Mg/m³

- What is the calculated volume in the fifth record?
  254 Å³ per cell

- The highest raw formation energy belongs to which entry?
  BaScCl

- Number 6 is which compound?
  Ba2SeCl